VASP calculation (PBE) on a relaxed structure of RbPd3Se3.

Summary:
Uncorrected energy in eV per atom: -4.27
Spin magnetization in μB/cell: 0.00
DOS(E_F) in states/eV/f.u.: 4.35
V in A^3/atom: 25.3
Raw formation energy in eV per atom: -0.415

abc: 7.0754 7.0754 7.0754
angles: 90.00 90.00 90.00
Space group Pm-3n (No. 223)
Inequivalent atoms, fractional coordinates:
Rb 0.0000 0.0000 0.0000
Pd 0.0000 0.2500 0.5000
Se 0.0000 0.5000 0.2500

VASP calculation (PBE) on a relaxed structure of RbPd4Se5.

Summary:
Uncorrected energy in eV per atom: -4.22
Spin magnetization in μB/cell: 0.00
DOS(E_F) in states/eV/f.u.: 4.81
V in A^3/atom: 23.5
Raw formation energy in eV per atom: -0.305

abc: 7.7095 12.5834 4.8456
angles: 90.00 90.00 90.00
Space group Pmmn (No. 59, origin choice 2)
Inequivalent atoms, fractional coordinates:
Rb 0.2500 0.2500 0.1789
Pd 0.0722 0.7500 0.3659
Pd 0.2500 0.5099 0.9790
Se 0.0028 0.5630 0.2856
Se 0.2500 0.7500 0.8302

VASP calculation (PBE) on a relaxed structure of RbPdSe.

Summary:
Uncorrected energy in eV per atom: -3.92
Spin magnetization in μB/cell: 0.00
DOS(E_F) in states/eV/f.u.: 0.31
V in A^3/atom: 30.7
Raw formation energy in eV per atom: -0.708

abc: 4.5022 6.6877 6.7955
angles: 106.78 108.54 90.81
Space group P-1 (No. 2)
Inequivalent atoms, fractional coordinates:
Rb 0.0935 0.3058 0.2035
Pd 0.2031 0.8875 0.4066
Se 0.3656 0.2328 0.7312

VASP calculation (PBE) on a relaxed structure of RbPd3Se.

Summary:
Uncorrected energy in eV per atom: -4.11
Spin magnetization in μB/cell: 0.00
DOS(E_F) in states/eV/f.u.: 4.45
V in A^3/atom: 23.5
Distance to the lowest polymorph of the same formula in eV/atom: 0.000
Raw formation energy in eV per atom: -0.101

abc: 4.8968 4.8968 4.8968
angles: 90.00 90.00 90.00
Space group Pm-3m (No. 221)
Inequivalent atoms, fractional coordinates:
Rb 0.0000 0.0000 0.0000
Pd 0.0000 0.5000 0.5000
Se 0.5000 0.5000 0.5000